[1]
Density functional theory data (PBE-GGA) for crystalline VHgPd2 at its relaxed geometry.

Total moment   0.00 μB per cell
DOS(E_F)   2.20 states/eV/cell
V   16.21 Å³/atom
Theoretical density   11893 kg/m3
Energy of formation   -0.66 eV/f.u.
Space-group type   P4/mmm, No. 123

Cell: 2.837 2.837 8.055 Å, 90.00 90.00 90.00°
Element x y z (fractional)
Hg  0.500  0.500  0.500
Pd  0.000  0.000  0.222
Pd  0.000  0.000  0.778
V  0.500  0.500  0.000



[2]
Density functional theory data (PBE-GGA) for crystalline LiHoCd2Pd4 at its relaxed geometry.

Total moment   0.00 μB per cell
DOS(E_F)   3.46 states/eV/cell
V   17.71 Å³/atom
Theoretical density   9637 kg/m3
Energy of formation   -4.68 eV/f.u.
Space-group type   R-3m, No. 166

Cell: 4.652 4.652 8.024 Å, 73.15 73.15 60.00°
Element x y z (fractional)
Pd  0.381  0.381  0.857
Pd  0.126  0.126  0.623
Pd  0.874  0.874  0.377
Pd  0.619  0.619  0.143
Ho  0.000  0.000  0.000
Cd  0.247  0.247  0.258
Cd  0.753  0.753  0.742
Li  0.500  0.500  0.500



[3]
Density functional theory data (PBE-GGA) for crystalline AgPd6Au3 at its relaxed geometry.

Total moment   0.00 μB per cell
DOS(E_F)   23.79 states/eV/cell
V   17.08 Å³/atom
Theoretical density   13000 kg/m3
Energy of formation   1.10 eV/f.u.
Energy above the lowest structure with this stoichiometry   3.41 kcal/mol of atoms
Space-group type   Cmc2_1, No. 36

Cell: 4.976 8.890 8.890 Å, 119.68 90.00 90.00°
Element x y z (fractional)
Pd  0.638  0.296  0.704
Pd  0.525  0.284  0.387
Pd  0.437  0.947  0.053
Pd  0.025  0.387  0.284
Pd  0.525  0.613  0.716
Pd  0.138  0.704  0.296
Pd  0.354  0.033  0.460
Pd  0.354  0.540  0.967
Pd  0.854  0.460  0.033
Pd  0.854  0.967  0.540
Pd  0.937  0.053  0.947
Pd  0.025  0.716  0.613
Au  0.964  0.067  0.267
Au  0.464  0.267  0.067
Au  0.076  0.398  0.602
Au  0.576  0.602  0.398
Au  0.464  0.933  0.733
Au  0.964  0.733  0.933
Ag  0.148  0.215  0.785
Ag  0.648  0.785  0.215



[4]
Density functional theory data (PBE-GGA) for crystalline PaInReO6 at its relaxed geometry.

Total moment   0.00 μB per cell
DOS(E_F)   5.00 states/eV/cell
V   17.98 Å³/atom
Theoretical density   6446 kg/m3
Space-group type   Imma, No. 74
Formation energy (no corrections)   -2137 meV/atom

Cell: 7.976 7.393 7.725 Å, 118.59 121.08 90.00°
Element x y z (fractional)
O  0.791  0.073  0.239
O  0.539  0.289  0.079
O  0.209  0.927  0.761
O  0.447  0.073  0.239
O  0.553  0.927  0.761
O  0.839  0.089  0.677
O  0.461  0.711  0.921
O  0.553  0.334  0.761
O  0.209  0.334  0.761
O  0.791  0.666  0.239
O  0.161  0.911  0.323
O  0.447  0.666  0.239
Pa  0.500  0.000  0.500
Pa  0.000  0.000  0.500
In  0.939  0.689  0.878
In  0.061  0.311  0.122
Re  0.500  0.500  0.000
Re  0.500  0.000  0.000



Repeat the fourth record exactly.
Density functional theory data (PBE-GGA) for crystalline PaInReO6 at its relaxed geometry.

Total moment   0.00 μB per cell
DOS(E_F)   5.00 states/eV/cell
V   17.98 Å³/atom
Theoretical density   6446 kg/m3
Space-group type   Imma, No. 74
Formation energy (no corrections)   -2137 meV/atom

Cell: 7.976 7.393 7.725 Å, 118.59 121.08 90.00°
Element x y z (fractional)
O  0.791  0.073  0.239
O  0.539  0.289  0.079
O  0.209  0.927  0.761
O  0.447  0.073  0.239
O  0.553  0.927  0.761
O  0.839  0.089  0.677
O  0.461  0.711  0.921
O  0.553  0.334  0.761
O  0.209  0.334  0.761
O  0.791  0.666  0.239
O  0.161  0.911  0.323
O  0.447  0.666  0.239
Pa  0.500  0.000  0.500
Pa  0.000  0.000  0.500
In  0.939  0.689  0.878
In  0.061  0.311  0.122
Re  0.500  0.500  0.000
Re  0.500  0.000  0.000



Look up the DOS(E_F) of the third one.
23.79 states/eV/cell



Which value of DOS(E_F) does entry 2 give?
3.46 states/eV/cell



Among the records above, which one has the highest DOS(E_F)?
AgPd6Au3